This record from the Alexandria database describes a relaxed structure of NaV2IO8. The functional is PBE with a Hubbard U.

abc: 8.944 5.831 7.223
angles: 90.00 91.68 90.00
Space group C2/m (No. 12)
Inequivalent atoms, fractional coordinates:
Na: 0.000 0.000 0.000
V: 0.144 0.500 0.727
I: 0.000 0.000 0.500
O: 0.031 0.243 0.710
O: 0.229 0.000 0.456
O: 0.235 0.500 0.927

Results
Electronic total energy ... -147.8 eV for the cell shown
M_tot ... 0.00 μB/f.u.